## TbPm2Er3Sb6 (PBE)

Data for a relaxed TbPm2Er3Sb6 crystal.

Its raw formation energy is -1.13 eV per atom. For the density of states at the Fermi level, the calculation gives 0.1593 states/eV/atom. The calculation puts the size of the total moment at 0.00 μB/cell. The value obtained for the total energy is -5.5109 eV per atom.

The structure belongs to space group C2/m (No. 12); the cell edges are 19.2044, 4.4090 and 8.8126 Å and the angles 90.00°, 103.17° and 90.00°. The distinct sites, in fractional coordinates, are Tb at (0.0000, 0.0000, 0.0000), Pm at (0.1662, 0.5000, 0.3329), Er at (0.0000, 0.0000, 0.5000), Er at (0.1674, 0.5000, 0.8337), Sb at (0.0025, 0.5000, 0.7491), Sb at (0.1647, 0.0000, 0.5885) and Sb at (0.1671, 0.0000, 0.0771).

=====

## Pm2ErThSb4 (PBE)

Data for a relaxed Pm2ErThSb4 crystal.

Its raw formation energy is -1.11 eV per atom. For the density of states at the Fermi level, the calculation gives 0.2114 states/eV/atom. The calculation puts the size of the total moment at 0.00 μB/cell. The value obtained for the total energy is -5.8542 eV per atom.

The structure belongs to space group P2/m (No. 10); the cell edges are 7.7145, 4.4710 and 7.7420 Å and the angles 90.00°, 109.48° and 90.00°. The distinct sites, in fractional coordinates, are Pm at (0.0000, 0.0000, 0.0000), Pm at (0.5000, 0.5000, 0.0000), Er at (0.0000, 0.5000, 0.5000), Th at (0.5000, 0.0000, 0.5000), Sb at (0.2436, 0.0000, 0.7438) and Sb at (0.2458, 0.5000, 0.2523).

=====

## PmEr2ThSb4 (PBE)

Data for a relaxed PmEr2ThSb4 crystal.

Its raw formation energy is -1.08 eV per atom. For the density of states at the Fermi level, the calculation gives 0.2210 states/eV/atom. The calculation puts the size of the total moment at 0.00 μB/cell. The value obtained for the total energy is -5.8069 eV per atom.

The structure belongs to space group P2/m (No. 10); the cell edges are 7.6439, 4.4361 and 7.6738 Å and the angles 90.00°, 109.51° and 90.00°. The distinct sites, in fractional coordinates, are Pm at (0.0000, 0.0000, 0.0000), Er at (0.5000, 0.0000, 0.5000), Er at (0.5000, 0.5000, 0.0000), Th at (0.0000, 0.5000, 0.5000), Sb at (0.2604, 0.0000, 0.7540) and Sb at (0.2596, 0.5000, 0.2531).

=====

## PmErTh2Sb4 (PBE)

Data for a relaxed PmErTh2Sb4 crystal.

Its raw formation energy is -1.03 eV per atom. For the density of states at the Fermi level, the calculation gives 0.5509 states/eV/atom. The calculation puts the size of the total moment at 0.00 μB/cell. The value obtained for the total energy is -6.1058 eV per atom.

The structure belongs to space group P2/m (No. 10); the cell edges are 7.7047, 4.4754 and 7.7513 Å and the angles 90.00°, 109.65° and 90.00°. The distinct sites, in fractional coordinates, are Pm at (0.0000, 0.0000, 0.0000), Er at (0.0000, 0.5000, 0.5000), Th at (0.5000, 0.0000, 0.5000), Th at (0.5000, 0.5000, 0.0000), Sb at (0.2420, 0.0000, 0.7433) and Sb at (0.2452, 0.5000, 0.2523).